# ZrAgBr6 PBE-GGA relaxed
# DFT total energy	-3.545	eV/atom
# magnetic moment	0.0	μB/f.u.
# symmetry	P-1, No. 2
# energy relative to the lowest polymorph listed for this composition	0.21	eV/f.u.
# N(E_F)	0.74	states/eV/atom
# raw formation energy	-865.0	meV/atom
# V	32.8	A^3/atom
data_ZrAgBr6
_cell_length_a 6.5205
_cell_length_b 7.3005
_cell_length_c 7.6251
_cell_angle_alpha 57.30
_cell_angle_beta 64.12
_cell_angle_gamma 62.56
_symmetry_space_group_name_H-M 'P 1'
_symmetry_Int_Tables_number 1
_symmetry_space_group_name_Hall 'P 1'
loop_
_atom_site_label
_atom_site_type_symbol
_atom_site_fract_x
_atom_site_fract_y
_atom_site_fract_z
Zr1 Zr 0.0000 0.0000 0.0000
Ag1 Ag 0.5000 0.5000 0.5000
Br1 Br 0.0922 0.4025 0.7638
Br2 Br 0.7651 0.1003 0.7298
Br3 Br 0.6209 0.2043 0.2134
Br4 Br 0.2349 0.8997 0.2702
Br5 Br 0.9078 0.5975 0.2362
Br6 Br 0.3791 0.7957 0.7866